Cd2BrF after structural relaxation, computed with PBE.

POSCAR file:
```
Cd2BrF
1.0
5.3176 0.0000 0.0000
0.0000 5.3176 0.0000
0.0000 0.0000 15.2087
Cd Br F
8 4 4
direct
0.1376 0.2500 0.1250 Cd
0.2500 0.6376 0.3750 Cd
0.2500 0.8624 0.8750 Cd
0.3624 0.2500 0.6250 Cd
0.6376 0.7500 0.6250 Cd
0.7500 0.1376 0.8750 Cd
0.7500 0.3624 0.3750 Cd
0.8624 0.7500 0.1250 Cd
0.0000 0.0000 0.5000 Br
0.0000 0.5000 0.7500 Br
0.5000 0.0000 0.2500 Br
0.5000 0.5000 0.0000 Br
0.0000 0.0000 0.0000 F
0.0000 0.5000 0.2500 F
0.5000 0.0000 0.7500 F
0.5000 0.5000 0.5000 F
```

Total moment   0.00 μB per cell
Formation energy (no corrections)   -0.84 eV/atom
Raw total energy   -2.18 eV per atom
Distance to the lowest polymorph of the same formula   0.0 meV per atom
DOS at the Fermi energy   5.15 states/eV/cell